(1)
First-principles (PBE) data for crystalline LiAcNpO5 at its relaxed geometry, as listed in Alexandria.

CIF file:
```
data_LiAcNpO5
_symmetry_space_group_name_H-M 'C 1 2/c 1'
_symmetry_Int_Tables_number 15
_cell_length_a 7.161
_cell_length_b 9.725
_cell_length_c 8.071
_cell_angle_alpha 90.00
_cell_angle_beta 115.54
_cell_angle_gamma 90.00
loop_
_symmetry_equiv_pos_as_xyz
'x,y,z'
'-x,-y,-z'
'-x,y,-z+1/2'
'x,-y,z+1/2'
'x+1/2,y+1/2,z'
'-x+1/2,-y+1/2,-z'
'-x+1/2,y+1/2,-z+1/2'
'x+1/2,-y+1/2,z+1/2'
loop_
_atom_site_label
_atom_site_type_symbol
_atom_site_fract_x
_atom_site_fract_y
_atom_site_fract_z
Li1 Li 0.000 0.189 0.250
Ac1 Ac 0.000 0.174 0.750
Np1 Np 0.000 0.500 0.000
O1 O 0.000 0.428 0.750
O2 O 0.096 0.298 0.084
O3 O 0.201 0.044 0.404
```

Formation energy (no corrections): -2.93 eV/atom
Magnetic moment: 0.125 μB/atom

---

(2)
First-principles (PBE) data for crystalline LiAc2NpO8 at its relaxed geometry, as listed in Alexandria.

CIF file:
```
data_LiAc2NpO8
_symmetry_space_group_name_H-M 'P 1 2/m 1'
_symmetry_Int_Tables_number 10
_cell_length_a 4.341
_cell_length_b 7.902
_cell_length_c 5.268
_cell_angle_alpha 90.00
_cell_angle_beta 96.56
_cell_angle_gamma 90.00
loop_
_symmetry_equiv_pos_as_xyz
'x,y,z'
'-x,-y,-z'
'-x,y,-z'
'x,-y,z'
loop_
_atom_site_label
_atom_site_type_symbol
_atom_site_fract_x
_atom_site_fract_y
_atom_site_fract_z
Li1 Li 0.000 0.000 0.000
Ac1 Ac 0.500 0.251 0.500
Np1 Np 0.000 0.500 0.000
O1 O 0.045 0.301 0.763
O2 O 0.430 0.500 0.227
O3 O 0.458 0.000 0.136
```

Formation energy (no corrections): -2.55 eV/atom
Magnetic moment: 0.000 μB/atom